! Li2CrO4 (PBE with a Hubbard U, relaxed); values from VASP
&SYSTEM
  ibrav = 0, nat = 42, ntyp = 3
/
ATOMIC_SPECIES
Li 6.94 Li.upf
Cr 52.00 Cr.upf
O 16.00 O.upf
ATOMIC_POSITIONS crystal
Li 0.400 0.221 0.623
Li 0.623 0.400 0.221
Li 0.221 0.623 0.400
Li 0.600 0.779 0.377
Li 0.377 0.600 0.779
Li 0.779 0.377 0.600
Li 0.064 0.888 0.295
Li 0.295 0.064 0.888
Li 0.888 0.295 0.064
Li 0.936 0.112 0.705
Li 0.705 0.936 0.112
Li 0.112 0.705 0.936
Cr 0.737 0.553 0.959
Cr 0.959 0.737 0.553
Cr 0.553 0.959 0.737
Cr 0.263 0.447 0.041
Cr 0.041 0.263 0.447
Cr 0.447 0.041 0.263
O 0.864 0.535 0.853
O 0.853 0.864 0.535
O 0.535 0.853 0.864
O 0.136 0.465 0.147
O 0.147 0.136 0.465
O 0.465 0.147 0.136
O 0.746 0.432 0.072
O 0.072 0.746 0.432
O 0.432 0.072 0.746
O 0.254 0.568 0.928
O 0.928 0.254 0.568
O 0.568 0.928 0.254
O 0.528 0.474 0.808
O 0.808 0.528 0.474
O 0.474 0.808 0.528
O 0.472 0.526 0.192
O 0.192 0.472 0.526
O 0.526 0.192 0.472
O 0.814 0.765 0.100
O 0.100 0.814 0.765
O 0.765 0.100 0.814
O 0.186 0.235 0.900
O 0.900 0.186 0.235
O 0.235 0.900 0.186
CELL_PARAMETERS angstrom
8.801 -0.008 -0.013
-2.689 8.380 -0.013
-2.689 -3.684 7.527
! D(E_F) ... 0.00 states/eV per atom
! Excess energy over the best structure of this formula in the dataset ... 0.000 eV per atom